Here is a relaxed SmTcSe crystal from Alexandria. Energies are from PBE.

Values from the calculation:
Magnetic moment, μB/f.u.: 0.00
Space-group type: P4/nmm (129)
ΔE_f (raw), eV/atom: -0.636

Cell: 3.6634 3.6634 10.3354 Å, 90.00 90.00 90.00°
Fractional coordinates of all 6 atoms:
Sm  0.0000  0.5000  0.7376
Sm  0.5000  0.0000  0.2624
Se  0.5000  0.0000  0.6211
Se  0.0000  0.5000  0.3789
Tc  0.0000  0.5000  0.0206
Tc  0.5000  0.0000  0.9794

***

Here is a relaxed Sm6TeSe4 crystal from Alexandria. Energies are from PBE.

Values from the calculation:
Magnetic moment, μB/f.u.: 0.04
Space-group type: Cmcm (63)
ΔE_f (raw), eV/atom: -1.557

Cell: 4.1090 7.1424 21.3494 Å, 90.00 90.00 106.72°
Fractional coordinates of all 22 atoms:
Sm  0.5000  0.0000  0.0000
Sm  0.5000  0.0000  0.5000
Sm  0.0556  0.1112  0.3359
Sm  0.9444  0.8888  0.6641
Sm  0.9444  0.8888  0.8359
Sm  0.0556  0.1112  0.1641
Sm  0.7721  0.5441  0.4042
Sm  0.2279  0.4559  0.5958
Sm  0.2279  0.4559  0.9042
Sm  0.7721  0.5441  0.0958
Sm  0.3502  0.7005  0.2500
Sm  0.6498  0.2995  0.7500
Te  0.6777  0.3555  0.2500
Te  0.3223  0.6445  0.7500
Se  0.8561  0.7121  0.5366
Se  0.4177  0.8354  0.1236
Se  0.1439  0.2879  0.4634
Se  0.5823  0.1646  0.8764
Se  0.8561  0.7121  0.9634
Se  0.1439  0.2879  0.0366
Se  0.5823  0.1646  0.6236
Se  0.4177  0.8354  0.3764